Compound: Ac5SiTe4
Source: Alexandria
Functional: PBE
Structure: relaxed

It has space group I4/m (No. 87), with a = 10.559 Å, b = 10.559 Å, c = 6.652 Å, α = 90.00°, β = 90.00° and γ = 90.00°. The asymmetric unit holds Ac at (0.000, 0.000, 0.000), Ac at (0.096, 0.721, 0.500), Si at (0.000, 0.000, 0.500) and Te at (0.094, 0.695, 0.000).

For the density of states at the Fermi level, the calculation gives 0.597 states/eV per atom. Its uncorrected formation energy is -1371 meV per atom. Its total DFT energy (no corrections) is -104.5 eV for the cell shown.